# LiAc2Ce

A relaxed structure of LiAc2Ce (PBE-GGA, Alexandria via LeMat-Bulk).

## Properties
* calculated formation energy: 11.5 kJ per mole of atoms
* VASP energy: -15.59 eV per cell
* offset from the most stable computed form: 0.0 meV per atom
* space group: P4/mmm

a b c (Å): 3.8428 3.8428 9.3678
angles (deg): 90.00 90.00 90.00
Element x y z (fractional)
Li 0.0000 0.0000 0.0000
Ac 0.5000 0.5000 0.2384
Ac 0.5000 0.5000 0.7616
Ce 0.0000 0.0000 0.5000